Record 1
DFT (PBEsol) results for an optimized crystal structure of Cu3Tc.

Values from the calculation:
Crystal system: orthorhombic
E_form (eV per formula unit): 1.194
Calculated total energy (Ry/atom): -0.424
Magnetic moment (μB/atom): 0.167

Cell lengths 2.514, 4.431, 8.783 Å; angles 90.00, 90.00, 90.00 degrees
Space group Immm (No. 71)
Unique sites:
Cu 0.000 0.000 0.000
Cu 0.000 0.500 0.260
Tc 0.000 0.000 0.500

Record 2
DFT (PBEsol) results for an optimized crystal structure of Sb2IrRu.

Values from the calculation:
Crystal system: monoclinic
ΔE to the lowest computed polymorph (kJ/mol of atoms): 6.1
Uncorrected formation energy (meV per atom): 102
Calculated total energy (Ry/atom): -0.527
Magnetic moment (μB/atom): 0.000

Cell lengths 9.441, 3.432, 4.465 Å; angles 90.00, 101.48, 90.00 degrees
Space group Cm (No. 8)
Unique sites:
Sb 0.000 0.000 0.000
Sb 0.247 0.000 0.590
Ir 0.018 0.500 0.495
Ru 0.226 0.500 0.087

Record 3
DFT (PBEsol) results for an optimized crystal structure of Rb3RhS.

Values from the calculation:
Crystal system: cubic
Uncorrected formation energy (meV per atom): 329
Calculated total energy (Ry/atom): -0.205
Magnetic moment (μB/atom): 0.000

Cell lengths 5.436, 5.436, 5.436 Å; angles 90.00, 90.00, 90.00 degrees
Space group Pm-3m (No. 221)
Unique sites:
Rb 0.000 0.000 0.500
Rh 0.000 0.000 0.000
S 0.500 0.500 0.500

Record 4
DFT (PBEsol) results for an optimized crystal structure of MoPO5.

Values from the calculation:
Crystal system: orthorhombic
ΔE to the lowest computed polymorph (kJ/mol of atoms): 0.0
Uncorrected formation energy (meV per atom): -2062
Calculated total energy (Ry/atom): -0.611
Magnetic moment (μB/atom): 0.139

Cell lengths 7.289, 6.405, 7.465 Å; angles 90.00, 90.00, 90.00 degrees
Space group Pnma (No. 62)
Unique sites:
Mo 0.127 0.250 0.250
P 0.125 0.750 0.122
O 0.050 0.250 0.995
O 0.124 0.750 0.692
O 0.125 0.558 0.244
O 0.201 0.250 0.503

Record 5
DFT (PBEsol) results for an optimized crystal structure of BaCdO2.

Values from the calculation:
Crystal system: tetragonal
Uncorrected formation energy (meV per atom): -1702
Calculated total energy (Ry/atom): -0.379
Magnetic moment (μB/atom): 0.000

Cell lengths 5.491, 5.491, 10.786 Å; angles 90.00, 90.00, 90.00 degrees
Space group I-42d (No. 122)
Unique sites:
Ba 0.000 0.000 0.000
Cd 0.000 0.000 0.500
O 0.199 0.250 0.625

Record 6
DFT (PBEsol) results for an optimized crystal structure of ZrNiF3.

Values from the calculation:
Crystal system: cubic
Uncorrected formation energy (meV per atom): -1140
Calculated total energy (Ry/atom): -0.393
Magnetic moment (μB/atom): 0.703

Cell lengths 3.997, 3.997, 3.997 Å; angles 90.00, 90.00, 90.00 degrees
Space group Pm-3m (No. 221)
Unique sites:
Zr 0.000 0.000 0.000
Ni 0.500 0.500 0.500
F 0.000 0.500 0.500

Record 7
DFT (PBEsol) results for an optimized crystal structure of NaAsO2.

Values from the calculation:
Crystal system: orthorhombic
Uncorrected formation energy (meV per atom): -1491
Calculated total energy (Ry/atom): -0.422
Magnetic moment (μB/atom): 0.000

Cell lengths 5.106, 14.411, 6.768 Å; angles 90.00, 90.00, 90.00 degrees
Space group Pbca (No. 61)
Unique sites:
Na 0.230 0.195 0.099
As 0.241 0.077 0.600
O 0.051 0.127 0.808
O 0.188 0.162 0.428

Record 8
DFT (PBEsol) results for an optimized crystal structure of TaCoSb2.

Values from the calculation:
Crystal system: tetragonal
Uncorrected formation energy (meV per atom): 139
Calculated total energy (Ry/atom): -0.530
Magnetic moment (μB/atom): 0.000

Cell lengths 3.537, 3.537, 5.782 Å; angles 90.00, 90.00, 90.00 degrees
Space group P4mm (No. 99)
Unique sites:
Ta 0.000 0.000 0.000
Co 0.500 0.500 0.304
Sb 0.000 0.000 0.467
Sb 0.500 0.500 0.806

calculated total energy of number 4 (MoPO5)?
-0.611 Ry/atom

Repeat the first record exactly.
DFT (PBEsol) results for an optimized crystal structure of Cu3Tc.

Values from the calculation:
Crystal system: orthorhombic
E_form (eV per formula unit): 1.194
Calculated total energy (Ry/atom): -0.424
Magnetic moment (μB/atom): 0.167

Cell lengths 2.514, 4.431, 8.783 Å; angles 90.00, 90.00, 90.00 degrees
Space group Immm (No. 71)
Unique sites:
Cu 0.000 0.000 0.000
Cu 0.000 0.500 0.260
Tc 0.000 0.000 0.500